Record 1
VASP calculation (PBE) on a geometry-optimized ZrHgSb2 structure.

- total magnetization (μB per formula unit) = 0.0
- DOS(E_F) (states/eV per atom) = 0.35
- E (eV/atom) = -4.350
- E_form (uncorrected) (eV/atom) = -0.0764

abc: 3.1675 3.1675 10.4169
angles: 90.00 90.00 90.00
Sites, in units of the cell vectors:
Sb  0.0000  0.0000  0.9563
Sb  0.5000  0.5000  0.3023
Hg  0.5000  0.5000  0.7248
Zr  0.0000  0.0000  0.5167

---

Record 2
VASP calculation (PBE) on a geometry-optimized PrTl2Te2Pd7 structure.

- total magnetization (μB per formula unit) = 0.0
- DOS(E_F) (states/eV per atom) = 0.61
- E (eV/atom) = -4.726
- E_form (uncorrected) (eV/atom) = -0.3801

abc: 4.1641 4.1641 15.4520
angles: 85.94 85.94 89.96
Sites, in units of the cell vectors:
Pr  0.0000  0.0000  0.0000
Pd  0.0387  0.5377  0.8599
Pd  0.5000  0.5000  0.0000
Pd  0.5377  0.0387  0.8599
Pd  0.9613  0.4623  0.1401
Pd  0.4037  0.4037  0.4195
Te  0.4333  0.4333  0.2471
Pd  0.5963  0.5963  0.5805
Pd  0.4623  0.9613  0.1401
Te  0.5667  0.5667  0.7529
Tl  0.8908  0.8908  0.4098
Tl  0.1092  0.1092  0.5902

---

Record 3
VASP calculation (PBE) on a geometry-optimized ZrTiSe4 structure.

- total magnetization (μB per formula unit) = 0.0
- DOS(E_F) (states/eV per atom) = 0.16
- E (eV/atom) = -6.269
- E_form (uncorrected) (eV/atom) = -1.2059

abc: 3.6736 6.3612 13.2201
angles: 90.01 90.00 90.00
Sites, in units of the cell vectors:
Zr  0.0000  0.0000  0.0000
Se  0.0001  0.3205  0.6211
Se  0.5002  0.8458  0.6170
Ti  0.5000  0.5000  0.0000
Se  0.0002  0.6542  0.8830
Ti  0.0000  0.0000  0.5000
Se  0.9999  0.6795  0.3789
Zr  0.5000  0.5000  0.5000
Se  0.9998  0.3458  0.1170
Se  0.5001  0.1795  0.8789
Se  0.4999  0.8205  0.1211
Se  0.4998  0.1542  0.3830